PaTiZnMo | PBE | relaxed

The energy relative to the elements comes out at 0.079 eV per atom.

The structure belongs to space group F-43m (No. 216); the cell edges are 6.682, 6.682 and 6.682 Å and the angles 90.00°, 90.00° and 90.00°. The asymmetric unit holds Pa at (0.000, 0.000, 0.000), Ti at (0.000, 0.000, 0.500), Zn at (0.250, 0.250, 0.250) and Mo at (0.250, 0.250, 0.750).